# 1
A geometry-optimized Ac2NdGe3Ir4 structure, computed with PBE-GGA.

Structure (POSCAR):
```
Ac2NdGe3Ir4
1.0
4.319 0.000 0.000
0.000 4.319 0.000
0.000 0.000 11.497
Ac Nd Ge Ir
2 1 3 4
direct
0.000 0.500 0.233
0.500 0.000 0.767
0.000 0.000 0.500
0.000 0.500 0.884
0.500 0.000 0.116
0.500 0.500 0.500
0.000 0.000 0.000
0.000 0.500 0.665
0.500 0.000 0.335
0.500 0.500 0.000
```

Calculated values
DFT formation energy: -717 meV/atom
Total magnetic moment: 0.00 Bohr magnetons per cell
Space group: P-4m2 (115)
DOS at the Fermi energy: 4.4 states/eV/cell

# 2
A geometry-optimized Hf4Ni3 structure, computed with PBE-GGA.

Structure (POSCAR):
```
Hf4Ni3
1.0
5.919 -2.106 0.000
5.919 2.106 0.000
-1.885 0.000 4.988
Hf Ni
4 3
direct
0.072 0.072 0.301
0.344 0.344 0.224
0.656 0.656 0.776
0.928 0.928 0.699
0.274 0.274 0.682
0.500 0.500 0.000
0.726 0.726 0.318
```

Calculated values
DFT formation energy: -275 meV/atom
Total magnetic moment: 0.00 Bohr magnetons per cell
Space group: C2/m (12)
DOS at the Fermi energy: 6.2 states/eV/cell

# 3
A geometry-optimized KZn2Mo structure, computed with PBE-GGA.

Structure (POSCAR):
```
KZn2Mo
1.0
5.166 -1.340 0.000
5.166 1.340 0.000
-1.123 0.000 6.189
K Zn Mo
1 2 1
direct
0.000 0.000 0.000
0.477 0.477 0.523
0.768 0.768 0.270
0.209 0.209 0.603
```

Calculated values
Energy above the lowest structure with this stoichiometry: 83.4 kJ/mol of formula units
DFT formation energy: 638 meV/atom
Total magnetic moment: 0.01 Bohr magnetons per cell
Space group: Cm (8)
DOS at the Fermi energy: 2.9 states/eV/cell

# 4
A geometry-optimized La3InO structure, computed with PBE-GGA.

Structure (POSCAR):
```
La3InO
1.0
5.714 0.000 0.000
-2.857 4.949 0.000
0.000 0.000 9.563
La In O
6 2 2
direct
0.000 0.000 0.250
0.000 0.000 0.750
0.333 0.667 0.088
0.333 0.667 0.412
0.667 0.333 0.588
0.667 0.333 0.912
0.333 0.667 0.750
0.667 0.333 0.250
0.000 0.000 0.000
0.000 0.000 0.500
```

Calculated values
E_tot: -5.51 eV/atom
Total magnetic moment: 0.00 Bohr magnetons per cell
Space group: P6_3/mmc (194)
DOS at the Fermi energy: 8.8 states/eV/cell

# 5
A geometry-optimized ZnHNF2 structure, computed with PBE-GGA.

Structure (POSCAR):
```
ZnHNF2
1.0
4.040 0.000 0.000
0.000 4.040 0.000
0.000 0.000 3.986
Zn H N F
1 1 1 2
direct
0.000 0.000 0.000
0.500 0.500 0.500
0.000 0.000 0.500
0.000 0.500 0.000
0.500 0.000 0.000
```

Calculated values
Energy above the lowest structure with this stoichiometry: 120.8 kJ/mol of formula units
Total magnetic moment: 2.85 Bohr magnetons per cell
Space group: P4/mmm (123)
DOS at the Fermi energy: 3.9 states/eV/cell

# 6
A geometry-optimized ScCoGe2B structure, computed with PBE-GGA.

Structure (POSCAR):
```
ScCoGe2B
1.0
4.618 0.000 0.000
0.000 4.618 0.000
0.000 0.000 3.767
Sc Co Ge B
1 1 2 1
direct
0.000 0.000 0.000
0.500 0.500 0.500
0.000 0.500 0.500
0.500 0.000 0.500
0.500 0.500 0.000
```

Calculated values
DFT formation energy: 215 meV/atom
Total magnetic moment: 0.00 Bohr magnetons per cell
Space group: P4/mmm (123)
DOS at the Fermi energy: 3.2 states/eV/cell

# 7
A geometry-optimized Sc5GaCo4 structure, computed with PBE-GGA.

Structure (POSCAR):
```
Sc5GaCo4
1.0
3.161 0.000 0.000
0.000 3.161 0.000
0.000 0.000 15.981
Sc Ga Co
5 1 4
direct
0.000 0.000 0.000
0.000 0.000 0.193
0.000 0.000 0.385
0.000 0.000 0.615
0.000 0.000 0.807
0.500 0.500 0.500
0.500 0.500 0.097
0.500 0.500 0.292
0.500 0.500 0.708
0.500 0.500 0.903
```

Calculated values
DFT formation energy: -416 meV/atom
Total magnetic moment: 1.05 Bohr magnetons per cell
Space group: P4/mmm (123)
DOS at the Fermi energy: 4.1 states/eV/cell

# 8
A geometry-optimized TaFe2Ag structure, computed with PBE-GGA.

Structure (POSCAR):
```
TaFe2Ag
1.0
-1.996 1.996 3.610
1.996 -1.996 3.610
1.996 1.996 -3.610
Ta Fe Ag
1 2 1
direct
0.000 0.000 0.000
0.250 0.750 0.500
0.750 0.250 0.500
0.500 0.500 0.000
```

Calculated values
Energy above the lowest structure with this stoichiometry: 30.3 kJ/mol of formula units
DFT formation energy: 276 meV/atom
Total magnetic moment: 3.11 Bohr magnetons per cell
Space group: I4/mmm (139)
DOS at the Fermi energy: 3.3 states/eV/cell

# 9
A geometry-optimized Ca2TlIrO6 structure, computed with PBE-GGA.

Structure (POSCAR):
```
Ca2TlIrO6
1.0
5.581 0.000 0.000
0.000 5.581 0.000
0.000 0.000 5.209
Ca Tl Ir O
2 1 1 6
direct
0.000 0.500 0.000
0.500 0.000 0.000
0.000 0.000 0.561
0.500 0.500 0.632
0.000 0.000 0.153
0.268 0.268 0.757
0.268 0.732 0.757
0.500 0.500 0.281
0.732 0.268 0.757
0.732 0.732 0.757
```

Calculated values
E_tot: -5.93 eV/atom
Total magnetic moment: 0.00 Bohr magnetons per cell
Space group: P4mm (99)
DOS at the Fermi energy: 2.7 states/eV/cell

# 10
A geometry-optimized LaNdTmLu structure, computed with PBE-GGA.

Structure (POSCAR):
```
LaNdTmLu
1.0
0.000 4.052 4.052
4.052 0.000 4.052
4.052 4.052 0.000
La Nd Tm Lu
1 1 1 1
direct
0.000 0.000 0.000
0.500 0.500 0.500
0.750 0.750 0.750
0.250 0.250 0.250
```

Calculated values
DFT formation energy: 76 meV/atom
Total magnetic moment: 0.00 Bohr magnetons per cell
Space group: F-43m (216)
DOS at the Fermi energy: 6.5 states/eV/cell

# 11
A geometry-optimized TaCo2Ge structure, computed with PBE-GGA.

Structure (POSCAR):
```
TaCo2Ge
1.0
3.135 0.000 0.000
0.000 3.190 0.000
0.000 0.000 5.397
Ta Co Ge
1 2 1
direct
0.000 0.000 0.000
0.500 0.500 0.251
0.500 0.500 0.749
0.000 0.000 0.500
```

Calculated values
DFT formation energy: -169 meV/atom
Total magnetic moment: 0.00 Bohr magnetons per cell
Space group: Pmmm (47)
DOS at the Fermi energy: 4.6 states/eV/cell

# 12
A geometry-optimized V8Ge6Rh structure, computed with PBE-GGA.

Structure (POSCAR):
```
V8Ge6Rh
1.0
3.615 2.087 5.070
-3.615 2.087 5.070
0.000 -4.174 5.070
V Ge Rh
8 6 1
direct
0.033 0.537 0.781
0.116 0.116 0.116
0.219 0.967 0.463
0.463 0.219 0.967
0.537 0.781 0.033
0.781 0.033 0.537
0.884 0.884 0.884
0.967 0.463 0.219
0.145 0.685 0.337
0.315 0.663 0.855
0.337 0.145 0.685
0.663 0.855 0.315
0.685 0.337 0.145
0.855 0.315 0.663
0.500 0.500 0.500
```

Calculated values
DFT formation energy: -77 meV/atom
Total magnetic moment: 0.00 Bohr magnetons per cell
Space group: R-3 (148)
DOS at the Fermi energy: 11.7 states/eV/cell

Q: Among the records above, which one has the lowest DOS at the Fermi energy?
A: Ca2TlIrO6

Q: total magnetic moment of number 7 (Sc5GaCo4)?
A: 1.05 Bohr magnetons per cell

Q: Which formula does entry 4 have?
A: La3InO